# CoCuSe2Br | Alexandria | PBE | relaxed
# energy relative to the lowest polymorph listed for this composition: 0.00 eV/f.u.
# crystal system: tetragonal
# energy relative to the elements, uncorrected: 10.62 kcal/mol of atoms
# VASP energy: -17.54 eV per cell
# calculated volume: 107 Å³ per cell
data_CoCuSe2Br
_space_group_name_H-M_alt 'P 1'
_space_group_IT_number 1
_space_group_name_Hall 'P 1'
_cell_length_a 4.4481
_cell_length_b 4.4481
_cell_length_c 5.4109
_cell_angle_alpha 90.00
_cell_angle_beta 90.00
_cell_angle_gamma 90.00
loop_
_atom_site_label
_atom_site_fract_x
_atom_site_fract_y
_atom_site_fract_z
_atom_site_occupancy
Co1 0.0000 0.0000 0.0000 1
Cu1 0.0000 0.0000 0.5000 1
Se1 0.0000 0.5000 0.0000 1
Se2 0.5000 0.0000 0.0000 1
Br1 0.5000 0.5000 0.5000 1